Rb2HfMgBi | GGA-PBE | optimized geometry

Lattice parameters (Å, degrees): 6.0907 6.0907 5.8192 90.00 90.00 90.00
Fractional positions:
Rb 0.0000 0.5000 0.0000
Rb 0.5000 0.0000 0.0000
Hf 0.0000 0.0000 0.5000
Mg 0.0000 0.0000 0.0000
Bi 0.5000 0.5000 0.5000

Volume = 43.174 Å³ per atom
Total magnetic moment = 1.9 μB per formula unit
E_tot = -2.46 eV/atom



Cs2BrCl | GGA-PBE | optimized geometry

Lattice parameters (Å, degrees): 4.9779 4.9779 26.3477 90.00 90.00 120.00
Fractional positions:
Cs 0.0000 0.0000 0.0000
Cs 0.0000 0.0000 0.1756
Cs 0.3333 0.6667 0.6667
Cs 0.3333 0.6667 0.8423
Cs 0.6667 0.3333 0.3333
Cs 0.6667 0.3333 0.5089
Br 0.0000 0.0000 0.4204
Br 0.3333 0.6667 0.0871
Br 0.6667 0.3333 0.7538
Cl 0.0000 0.0000 0.5883
Cl 0.3333 0.6667 0.2549
Cl 0.6667 0.3333 0.9216

Distance to the lowest polymorph of the same formula = 18.9 meV per atom
Volume = 47.117 Å³ per atom
Energy relative to the elements, uncorrected = -1.86 eV/atom
Total magnetic moment = 0.1 μB per formula unit
E_tot = -3.16 eV/atom



Zr2ReNi | GGA-PBE | optimized geometry

Lattice parameters (Å, degrees): 6.4836 6.4836 6.4836 90.00 90.00 90.00
Fractional positions:
Zr 0.0000 0.0000 0.0000
Zr 0.0000 0.5000 0.5000
Zr 0.2500 0.2500 0.2500
Zr 0.2500 0.7500 0.7500
Zr 0.5000 0.0000 0.5000
Zr 0.5000 0.5000 0.0000
Zr 0.7500 0.2500 0.7500
Zr 0.7500 0.7500 0.2500
Re 0.0000 0.0000 0.5000
Re 0.0000 0.5000 0.0000
Re 0.5000 0.0000 0.0000
Re 0.5000 0.5000 0.5000
Ni 0.2500 0.2500 0.7500
Ni 0.2500 0.7500 0.2500
Ni 0.7500 0.2500 0.2500
Ni 0.7500 0.7500 0.7500

Volume = 17.035 Å³ per atom
Total magnetic moment = 0.0 μB per formula unit
E_tot = -8.75 eV/atom



K2NaTl3I6 | GGA-PBE | optimized geometry

Lattice parameters (Å, degrees): 11.1148 11.1148 10.0040 103.19 103.19 25.76
Fractional positions:
K 0.1646 0.1646 0.3301
K 0.8354 0.8354 0.6699
Na 0.5000 0.5000 0.0000
Tl 0.1672 0.1672 0.8365
Tl 0.5000 0.5000 0.5000
Tl 0.8328 0.8328 0.1635
I 0.0026 0.0026 0.7675
I 0.3329 0.3329 0.4175
I 0.3440 0.3440 0.9226
I 0.6560 0.6560 0.0774
I 0.6671 0.6671 0.5825
I 0.9974 0.9974 0.2325

Volume = 43.524 Å³ per atom
Energy relative to the elements, uncorrected = -1.03 eV/atom
Total magnetic moment = 0.0 μB per formula unit
E_tot = -2.69 eV/atom



CaCd8Cu4 | GGA-PBE | optimized geometry

Lattice parameters (Å, degrees): 7.3346 7.3346 7.3346 97.79 97.79 136.79
Fractional positions:
Ca 0.0000 0.0000 0.0000
Cd 0.0000 0.3403 0.3403
Cd 0.0000 0.6597 0.6597
Cd 0.2824 0.5000 0.7824
Cd 0.3403 0.0000 0.3403
Cd 0.5000 0.2824 0.7824
Cd 0.5000 0.7176 0.2176
Cd 0.6597 0.0000 0.6597
Cd 0.7176 0.5000 0.2176
Cu 0.0000 0.0000 0.5000
Cu 0.0000 0.5000 0.0000
Cu 0.5000 0.0000 0.0000
Cu 0.5000 0.5000 0.5000

Volume = 19.320 Å³ per atom
Total magnetic moment = 0.0 μB per formula unit
E_tot = -2.06 eV/atom



Li2MnCr | GGA-PBE | optimized geometry

Lattice parameters (Å, degrees): 6.1516 6.1516 6.1516 90.00 90.00 90.00
Fractional positions:
Li 0.0000 0.0000 0.0000
Li 0.0000 0.5000 0.5000
Li 0.2500 0.2500 0.2500
Li 0.2500 0.7500 0.7500
Li 0.5000 0.0000 0.5000
Li 0.5000 0.5000 0.0000
Li 0.7500 0.2500 0.7500
Li 0.7500 0.7500 0.2500
Mn 0.0000 0.0000 0.5000
Mn 0.0000 0.5000 0.0000
Mn 0.5000 0.0000 0.0000
Mn 0.5000 0.5000 0.5000
Cr 0.2500 0.2500 0.7500
Cr 0.2500 0.7500 0.2500
Cr 0.7500 0.2500 0.2500
Cr 0.7500 0.7500 0.7500

Distance to the lowest polymorph of the same formula = 102.0 meV per atom
Volume = 14.549 Å³ per atom
Total magnetic moment = 0.3 μB per formula unit
E_tot = -5.28 eV/atom